First-principles (PBE) data for K3NaCo2Br8 after structural relaxation, as listed in Alexandria.

Structure (POSCAR):
```
K3NaCo2Br8
1.0
7.7582 0.0000 0.0000
-3.8791 6.7188 0.0000
0.0000 0.0000 9.3625
K Na Co Br
3 1 2 8
direct
0.3333 0.6667 0.6143
0.6667 0.3333 0.3857
0.0000 0.0000 0.0000
0.0000 0.0000 0.5000
0.3333 0.6667 0.2044
0.6667 0.3333 0.7956
0.3333 0.6667 0.9545
0.6667 0.3333 0.0455
0.1687 0.8313 0.3058
0.8313 0.1687 0.6942
0.1687 0.3375 0.3058
0.8313 0.6625 0.6942
0.6625 0.8313 0.3058
0.3375 0.1687 0.6942
```

Results
Uncorrected formation energy (meV/atom): -1065
Spin magnetization (Bohr magnetons per cell): 6.000
Space group: P-3m1, No. 164
Crystal system: trigonal